15
Lattice="7.879 0.000 0.000 -3.939 6.823 -0.024 0.000 -4.525 6.691" Properties=species:S:1:pos:R:3 comment="La3YTm3S8 GGA-PBE relaxed" spacegroup="R-3m (166)" n_ef_per_ev_cell=7.35 formation_energy_uncorrected_ev_per_atom=-2.09 magnetic_moment_mub_per_cell=0.0 pbc="T T T"
S 0.000 2.281 1.830
S 5.871 -1.109 1.811
S 2.008 -1.109 1.811
S 0.000 0.061 4.867
S 3.939 2.237 1.800
S 1.932 3.407 4.856
S 3.939 0.017 4.837
S -1.932 3.407 4.856
La 1.970 3.411 -0.012
La 0.000 0.000 0.000
La -1.970 3.411 -0.012
Tm 3.939 -2.262 3.346
Tm -1.970 1.149 3.333
Tm 1.970 1.149 3.333
Y 0.000 -2.262 3.346

18
Lattice="3.917 0.000 0.000 -1.958 8.510 0.000 0.000 0.000 12.052" Properties=species:S:1:pos:R:3 comment="La2TmZnS5 GGA-PBE relaxed" spacegroup="Cmc2_1 (36)" n_ef_per_ev_cell=2.25 formation_energy_uncorrected_ev_per_atom=-1.85 magnetic_moment_mub_per_cell=0.0 pbc="T T T"
La 0.000 1.975 8.273
La 1.958 6.535 2.247
La 0.000 2.221 3.868
La 1.958 6.289 9.894
S 0.000 5.346 4.356
S 1.958 0.096 3.253
S 1.958 2.478 6.103
S 1.958 3.164 10.382
S 0.000 0.694 0.560
S 1.958 3.528 2.065
S 0.000 8.414 9.279
S 0.000 4.982 8.091
S 0.000 6.032 0.077
S 1.958 7.816 6.586
Zn 0.000 7.689 5.347
Zn 1.958 0.821 11.373
Tm 0.000 3.371 0.210
Tm 1.958 5.139 6.236

14
Lattice="4.192 0.000 0.000 0.000 7.359 0.000 0.000 0.000 11.503" Properties=species:S:1:pos:R:3 comment="La2US4 GGA-PBE relaxed" spacegroup="Pbam (55)" n_ef_per_ev_cell=20.05 formation_energy_uncorrected_ev_per_atom=-1.84 magnetic_moment_mub_per_cell=5.8 pbc="T T T"
La 2.096 2.966 7.881
La 2.096 4.393 3.622
La 2.096 6.646 9.374
La 2.096 0.714 2.129
S 2.096 1.952 10.895
S 0.000 0.987 8.274
S 0.000 4.666 8.980
S 2.096 5.407 0.608
S 0.000 6.373 3.229
S 0.000 2.693 2.523
S 2.096 5.632 6.360
S 2.096 1.728 5.143
U 0.000 3.680 0.000
U 0.000 0.000 5.752

20
Lattice="-2.535 -1.042 2.850 -2.623 -9.087 -5.655 8.827 -2.588 6.906" Properties=species:S:1:pos:R:3 comment="LaU3S6 GGA-PBE relaxed" spacegroup="P2_1/m (11)" n_ef_per_ev_cell=31.02 formation_energy_uncorrected_ev_per_atom=-1.55 magnetic_moment_mub_per_cell=5.4 pbc="T T T"
U 5.255 -10.322 2.272
U 4.322 -6.936 5.423
U 2.922 -4.455 2.342
U -0.653 -5.781 -1.322
U 0.748 -8.261 1.759
U -1.585 -2.395 1.828
S 7.137 -3.394 6.479
S 2.277 -6.812 3.650
S 1.392 -5.904 0.451
S 2.629 -10.022 2.788
S 1.809 -9.585 -0.524
S 1.861 -3.131 4.625
S 1.041 -2.694 1.313
S 5.093 -4.585 4.225
S -1.424 -8.131 -0.125
S -2.432 -4.503 0.305
S -3.467 -9.323 -2.378
S 6.102 -8.213 3.796
La 4.089 -3.042 6.639
La -0.419 -9.674 -2.538